DFT (PBE) results for VAgGe after structural relaxation.

## Properties
- Symmetry: P4/nmm (129)
- Density of states at the Fermi level: 1.0195 states/eV/atom
- Formation enthalpy at 0 K: 0.33 eV/f.u.
- Calculated volume: 50 Å³/f.u.

POSCAR file:
```
VAgGe
1.0
3.869 0.000 0.000
0.000 3.869 0.000
0.000 0.000 6.628
V Ag Ge
2 2 2
Cartesian
0.967 2.902 0.000 V
2.902 0.967 0.000 V
0.967 0.967 2.210 Ag
2.902 2.902 4.417 Ag
0.967 0.967 4.902 Ge
2.902 2.902 1.726 Ge
```

DFT (PBE) results for VAgGe2 after structural relaxation.

## Properties
- ΔE to the lowest computed polymorph: 0 meV/atom
- Symmetry: R-3m (166)
- Density of states at the Fermi level: 0.5567 states/eV/atom
- Formation enthalpy at 0 K: 0.29 eV/f.u.
- Calculated volume: 68 Å³/f.u.

POSCAR file:
```
VAgGe2
1.0
2.927 0.000 0.000
-1.463 2.535 0.000
0.000 0.000 27.650
V Ag Ge
3 3 6
Cartesian
0.000 0.000 0.000 V
0.000 1.690 18.433 V
1.463 0.845 9.217 V
0.000 0.000 13.825 Ag
0.000 1.690 4.608 Ag
1.463 0.845 23.041 Ag
0.000 0.000 11.246 Ge
0.000 0.000 16.404 Ge
0.000 1.690 2.029 Ge
0.000 1.690 7.188 Ge
1.463 0.845 20.462 Ge
1.463 0.845 25.621 Ge
```

Q: Which formula does entry 2 have?
A: VAgGe2

Q: Which formula does entry 2 have?
A: VAgGe2

Q: Look up the calculated volume of the second one.
A: 68 Å³/f.u.

Copy entry 1 word for word.
DFT (PBE) results for VAgGe after structural relaxation.

## Properties
- Symmetry: P4/nmm (129)
- Density of states at the Fermi level: 1.0195 states/eV/atom
- Formation enthalpy at 0 K: 0.33 eV/f.u.
- Calculated volume: 50 Å³/f.u.

POSCAR file:
```
VAgGe
1.0
3.869 0.000 0.000
0.000 3.869 0.000
0.000 0.000 6.628
V Ag Ge
2 2 2
Cartesian
0.967 2.902 0.000 V
2.902 0.967 0.000 V
0.967 0.967 2.210 Ag
2.902 2.902 4.417 Ag
0.967 0.967 4.902 Ge
2.902 2.902 1.726 Ge
```